The following is a GGA-PBE calculation of a relaxed structure of SbH2PbW, from Alexandria via LeMat-Bulk.

a = 3.9226 Å, b = 3.9226 Å, c = 5.6817 Å
α = 90.00°, β = 90.00°, γ = 90.00°
Last column: nearest neighbours and their distance in Å.
Positions (direct):
Sb (0.0000, 0.0000, 0.0000)  4 H 1.96
H (0.0000, 0.5000, 0.0000)  2 Sb 1.96
H (0.5000, 0.0000, 0.0000)  2 Sb 1.96
Pb (0.5000, 0.5000, 0.5000)  4 W 2.77
W (0.0000, 0.0000, 0.5000)  4 Pb 2.77, 2 Sb 2.84

Calculated values
Fermi-level density of states: 0.343 states/eV per atom
crystal system: tetragonal
electronic total energy: -23.33 eV per formula unit
theoretical density: 9.78 Mg/m³



The following is a GGA-PBE calculation of a relaxed structure of Sr5Ca, from Alexandria via LeMat-Bulk.

a = 10.2800 Å, b = 8.4143 Å, c = 12.6364 Å
α = 90.00°, β = 90.00°, γ = 144.89°
Last column: nearest neighbours and their distance in Å.
Positions (direct):
Sr (0.7506, 0.3766, 0.2500)  2 Ca 4.19-4.23, 10 Sr 4.20-4.24
Sr (0.2494, 0.6234, 0.7500)  2 Ca 4.19-4.23, 10 Sr 4.20-4.24
Sr (0.7497, 0.3784, 0.9141)  10 Sr 4.15-4.26, 2 Ca 4.17
Sr (0.2503, 0.6216, 0.4141)  10 Sr 4.15-4.26, 2 Ca 4.17
Sr (0.2503, 0.6216, 0.0859)  10 Sr 4.15-4.26, 2 Ca 4.17
Sr (0.7497, 0.3784, 0.5859)  10 Sr 4.15-4.26, 2 Ca 4.17
Sr (0.7497, 0.8717, 0.9166)  9 Sr 4.15-4.26, 3 Ca 4.17-4.21
Sr (0.2503, 0.1283, 0.4166)  9 Sr 4.15-4.26, 3 Ca 4.17-4.21
Sr (0.2503, 0.1283, 0.0834)  9 Sr 4.15-4.26, 3 Ca 4.17-4.21
Sr (0.7497, 0.8717, 0.5834)  9 Sr 4.15-4.26, 3 Ca 4.17-4.21
Ca (0.7505, 0.8740, 0.2500)  12 Sr 4.17-4.23
Ca (0.2495, 0.1260, 0.7500)  12 Sr 4.17-4.23

Calculated values
Fermi-level density of states: 1.266 states/eV per atom
crystal system: monoclinic
excess energy over the best structure of this formula in the dataset: 0 meV/atom
electronic total energy: -10.36 eV per formula unit
theoretical density: 2.53 Mg/m³



The following is a GGA-PBE calculation of a relaxed structure of LiYSn3, from Alexandria via LeMat-Bulk.

a = 5.7943 Å, b = 5.7943 Å, c = 5.7943 Å
α = 90.00°, β = 90.00°, γ = 90.00°
Last column: nearest neighbours and their distance in Å.
Positions (direct):
Y (0.0000, 0.0000, 0.0000)  6 Sn 2.90
Sn (0.0000, 0.5000, 0.0000)  2 Y 2.90
Sn (0.0000, 0.0000, 0.5000)  2 Y 2.90
Sn (0.5000, 0.0000, 0.0000)  2 Y 2.90
Li (0.5000, 0.5000, 0.5000)  12 Sn 4.10

Calculated values
Fermi-level density of states: 0.536 states/eV per atom
crystal system: cubic
excess energy over the best structure of this formula in the dataset: 731 meV/atom
electronic total energy: -18.81 eV per formula unit
theoretical density: 3.86 Mg/m³



The following is a GGA-PBE calculation of a relaxed structure of NaSrTeN2, from Alexandria via LeMat-Bulk.

a = 4.9864 Å, b = 4.9864 Å, c = 6.6070 Å
α = 90.00°, β = 90.00°, γ = 90.00°
Last column: nearest neighbours and their distance in Å.
Positions (direct):
Sr (0.0000, 0.0000, 0.0000)  4 N 2.49
N (0.0000, 0.5000, 0.0000)  2 Sr 2.49
N (0.5000, 0.0000, 0.0000)  2 Sr 2.49
Te (0.0000, 0.0000, 0.5000)  2 Sr 3.30, 4 Na 3.53
Na (0.5000, 0.5000, 0.5000)  4 Te 3.53

Calculated values
Fermi-level density of states: 0.403 states/eV per atom
crystal system: tetragonal
excess energy over the best structure of this formula in the dataset: 0 meV/atom
electronic total energy: -18.20 eV per formula unit
theoretical density: 2.69 Mg/m³
raw formation energy: 0.9188 eV per atom



The following is a GGA-PBE calculation of a relaxed structure of Hg2TeH2, from Alexandria via LeMat-Bulk.

a = 4.6327 Å, b = 9.0926 Å, c = 11.6358 Å
α = 31.72°, β = 95.25°, γ = 96.90°
Last column: nearest neighbours and their distance in Å.
Positions (direct):
Hg (0.6327, 0.7907, 0.5957)  1 Hg 2.68, 1 Te 2.75, 1 H 2.91
Hg (0.6050, 0.1117, 0.7317)  2 H 1.80-1.82
Hg (0.3673, 0.2093, 0.4043)  1 Hg 2.68, 1 Te 2.75, 1 H 2.91
Hg (0.3950, 0.8883, 0.2683)  2 H 1.80-1.82
Te (0.9479, 0.3753, 0.7959)  2 H 2.06-2.07
Te (0.0521, 0.6247, 0.2041)  2 H 2.06-2.07
H (0.1561, 0.6676, 0.4997)  1 Hg 1.82
H (0.6769, 0.1073, 0.0623)  1 Hg 1.80
H (0.8439, 0.3324, 0.5003)  1 Hg 1.82
H (0.3231, 0.8927, 0.9377)  1 Hg 1.80

Calculated values
Fermi-level density of states: 0.112 states/eV per atom
crystal system: triclinic
excess energy over the best structure of this formula in the dataset: 187 meV/atom
electronic total energy: -9.23 eV per formula unit
theoretical density: 6.89 Mg/m³



The following is a GGA-PBE calculation of a relaxed structure of TbErGaNi, from Alexandria via LeMat-Bulk.

a = 4.9222 Å, b = 4.9222 Å, c = 4.9222 Å
α = 60.00°, β = 60.00°, γ = 60.00°
Last column: nearest neighbours and their distance in Å.
Positions (direct):
Ni (0.0000, 0.0000, 0.0000)  4 Er 3.01, 4 Tb 3.01
Tb (0.2500, 0.2500, 0.2500)  4 Ni 3.01, 4 Ga 3.01
Ga (0.5000, 0.5000, 0.5000)  4 Tb 3.01, 4 Er 3.01
Er (0.7500, 0.7500, 0.7500)  4 Ni 3.01, 4 Ga 3.01

Calculated values
Fermi-level density of states: 0.892 states/eV per atom
crystal system: cubic
excess energy over the best structure of this formula in the dataset: 46 meV/atom
electronic total energy: -19.82 eV per formula unit
theoretical density: 8.95 Mg/m³



The following is a GGA-PBE calculation of a relaxed structure of Rb2CaSnAs, from Alexandria via LeMat-Bulk.

a = 6.7213 Å, b = 5.5840 Å, c = 6.7213 Å
α = 90.00°, β = 90.00°, γ = 90.00°
Last column: nearest neighbours and their distance in Å.
Positions (direct):
As (0.0000, 0.0000, 0.0000)  2 Ca 2.79
Ca (0.0000, 0.5000, 0.0000)  2 As 2.79
Sn (0.5000, 0.5000, 0.5000)  8 Rb 4.37, 4 Ca 4.75
Rb (0.0000, 0.0000, 0.5000)  2 As 3.36
Rb (0.5000, 0.0000, 0.0000)  2 As 3.36

Calculated values
Fermi-level density of states: 0.477 states/eV per atom
crystal system: tetragonal
electronic total energy: -12.84 eV per formula unit
theoretical density: 2.66 Mg/m³



The following is a GGA-PBE calculation of a relaxed structure of Nd8Ni2Bi, from Alexandria via LeMat-Bulk.

a = 5.6057 Å, b = 8.1848 Å, c = 8.1848 Å
α = 115.39°, β = 97.15°, γ = 97.15°
Last column: nearest neighbours and their distance in Å.
Positions (direct):
Nd (0.9262, 0.9216, 0.6681)  2 Ni 2.89-2.95
Nd (0.9262, 0.6681, 0.9216)  2 Ni 2.89-2.95
Nd (0.3005, 0.6002, 0.6002)  4 Nd 3.15-3.47, 2 Ni 3.26, 1 Bi 3.42
Nd (0.5000, 0.7505, 0.2495)  2 Ni 2.89
Nd (0.5000, 0.2495, 0.7505)  2 Ni 2.89
Nd (0.6995, 0.3998, 0.3998)  4 Nd 3.15-3.47, 2 Ni 3.26, 1 Bi 3.42
Nd (0.0738, 0.3319, 0.0784)  2 Ni 2.89-2.95
Nd (0.0738, 0.0784, 0.3319)  2 Ni 2.89-2.95
Ni (0.0000, 0.2991, 0.7009)  6 Nd 2.89-2.95
Ni (0.0000, 0.7009, 0.2991)  6 Nd 2.89-2.95
Bi (0.5000, 0.0000, 0.0000)  12 Nd 3.42-3.74

Calculated values
Fermi-level density of states: 1.254 states/eV per atom
crystal system: monoclinic
electronic total energy: -55.61 eV per formula unit
theoretical density: 7.45 Mg/m³